Record 1
An optimized crystal structure of NbZnS3, computed with PBE. Values from VASP.

* density: 4.45 g/cm3
* E_tot: -4.2212 eV/atom
* size of the total moment: 1.53 μB per formula unit
* SG: Pm-3m, No. 221

```
&SYSTEM
  ibrav = 0, nat = 5, ntyp = 3
/
ATOMIC_SPECIES
S 32.06 S.upf
Nb 92.91 Nb.upf
Zn 65.41 Zn.upf
ATOMIC_POSITIONS angstrom
S 0.3655 2.0798 0.8645
Nb 1.6375 0.7538 3.5171
Zn 0.0000 0.0000 0.0000
S 2.0962 -0.6345 0.6404
S -0.8241 -0.6916 2.0123
CELL_PARAMETERS angstrom
-1.6482 -1.3831 4.0245
4.1923 -1.2690 1.2808
0.7309 4.1597 1.7289
```

=====

Record 2
An optimized crystal structure of Zr2NbS6, computed with PBE. Values from VASP.

* density: 3.54 g/cm3
* E_tot: -7.0785 eV/atom
* size of the total moment: 0.00 μB per formula unit
* SG: C2/m, No. 12

```
&SYSTEM
  ibrav = 0, nat = 9, ntyp = 3
/
ATOMIC_SPECIES
S 32.06 S.upf
Nb 92.91 Nb.upf
Zr 91.22 Zr.upf
ATOMIC_POSITIONS angstrom
S 0.2448 -3.1674 -0.3189
Nb -0.1460 -2.6596 5.1931
S 1.8812 -5.8716 -2.2351
Zr 2.2753 -3.3502 -1.8705
S 3.7912 -3.9002 0.1436
Zr 3.3207 -3.3244 5.6251
S 1.8046 -2.7745 3.6111
S 5.3511 -3.5073 4.0735
S 3.7147 -0.8031 5.9898
CELL_PARAMETERS angstrom
-2.4343 -2.3222 1.1983
3.4535 -3.6776 -5.4332
4.5767 -0.6748 7.9896
```

=====

Energy relative to the elements, uncorrected / eV/atom: 0.52; -1.31